DFT (PBE-GGA) results for crystalline Mn2ZnRh at its relaxed geometry.

Its energy of formation from the pure elements is -0.08 eV/atom.

It has space group Pmm2 (No. 25), with a = 2.718 Å, b = 8.510 Å, c = 4.512 Å, α = 90.00°, β = 90.00° and γ = 90.00°. The distinct sites, in fractional coordinates, are Mn at (0.000, 0.000, 0.000), Mn at (0.000, 0.232, 0.344), Mn at (0.500, 0.000, 0.495), Zn at (0.000, 0.500, 0.683), Zn at (0.500, 0.500, 0.188) and Rh at (0.500, 0.241, 0.847).

=====

DFT (PBE-GGA) results for crystalline PmPrZnNi at its relaxed geometry.

The energy relative to the lowest polymorph listed for this composition comes out at 0.041 eV per atom. Its energy of formation from the pure elements is -0.23 eV/atom.

It has space group F-43m (No. 216), with a = 7.194 Å, b = 7.194 Å, c = 7.194 Å, α = 90.00°, β = 90.00° and γ = 90.00°. The distinct sites, in fractional coordinates, are Pm at (0.000, 0.000, 0.000), Pr at (0.000, 0.000, 0.500), Zn at (0.250, 0.250, 0.750) and Ni at (0.250, 0.250, 0.250).

=====

DFT (PBE-GGA) results for crystalline CsSrNdCl6 at its relaxed geometry.

For the formation energy without anion corrections, the calculation gives -2.313 eV/atom.

It has space group P-31c (No. 163), with a = 7.5528 Å, b = 7.5528 Å, c = 14.7933 Å, α = 90.00°, β = 90.00° and γ = 120.00°. The distinct sites, in fractional coordinates, are Cs at (0.0000, 0.0000, 0.0000), Sr at (0.3333, 0.6667, 0.2500), Nd at (0.3333, 0.6667, 0.7500) and Cl at (0.0153, 0.3862, 0.6441).

=====

What are the M_tot values for these records? In order: 0.224 0.000 0.000 μB per atom.